## Sc3Bi2Se (GGA-PBE)

Data for Sc3Bi2Se after structural relaxation.

Calculated values
E above lowest polymorph   0.00 eV/f.u.
Fermi-level density of states   9.6 states/eV per cell
Symmetry   No. 70
Total moment   0.000 μB/f.u.
Energy   -5.992 eV/atom
Crystal system   orthorhombic

a = 13.6656 Å, b = 13.0254 Å, c = 7.1752 Å
α = 79.40°, β = 69.53°, γ = 31.07°
Last column: nearest neighbours and their distance in Å.
Fractional positions:
Sc: 0.0394 0.5362 0.1951  2 Se 2.80-2.84, 4 Bi 2.96-3.02
Sc: 0.1022 0.6478 0.6478  2 Se 2.80, 4 Bi 2.93-3.01
Sc: 0.1951 0.7293 0.0394  2 Se 2.80-2.84, 4 Bi 2.96-3.02
Sc: 0.2707 0.8049 0.4638  2 Se 2.80-2.84, 4 Bi 2.96-3.02
Sc: 0.3522 0.8978 0.8978  2 Se 2.80, 4 Bi 2.93-3.01
Sc: 0.4638 0.9606 0.2707  2 Se 2.80-2.84, 4 Bi 2.96-3.02
Sc: 0.5362 0.0394 0.7293  2 Se 2.80-2.84, 4 Bi 2.96-3.02
Sc: 0.6478 0.1022 0.1022  2 Se 2.80, 4 Bi 2.93-3.01
Sc: 0.7293 0.1951 0.5362  2 Se 2.80-2.84, 4 Bi 2.96-3.02
Sc: 0.8049 0.2707 0.9606  2 Se 2.80-2.84, 4 Bi 2.96-3.02
Sc: 0.8978 0.3522 0.3522  2 Se 2.80, 4 Bi 2.93-3.01
Sc: 0.9606 0.4638 0.8049  2 Se 2.80-2.84, 4 Bi 2.96-3.02
Bi: 0.1274 0.1274 0.6226  6 Sc 2.93-3.00
Bi: 0.2948 0.2948 0.4552  6 Sc 2.96-3.02
Bi: 0.3774 0.3774 0.8726  6 Sc 2.93-3.00
Bi: 0.4552 0.4552 0.2948  6 Sc 2.96-3.02
Bi: 0.5448 0.5448 0.7052  6 Sc 2.96-3.02
Bi: 0.6226 0.6226 0.1274  6 Sc 2.93-3.00
Bi: 0.7052 0.7052 0.5448  6 Sc 2.96-3.02
Bi: 0.8726 0.8726 0.3774  6 Sc 2.93-3.00
Se: 0.0414 0.0414 0.2086  6 Sc 2.80-2.84
Se: 0.2086 0.2086 0.0414  6 Sc 2.80-2.84
Se: 0.7914 0.7914 0.9586  6 Sc 2.80-2.84
Se: 0.9586 0.9586 0.7914  6 Sc 2.80-2.84

## Sc3Si4 (GGA-PBE)

Data for Sc3Si4 after structural relaxation.

Calculated values
E above lowest polymorph   3.07 eV/f.u.
Fermi-level density of states   7.2 states/eV per cell
Symmetry   No. 139
Total moment   0.000 μB/f.u.
Energy   -6.084 eV/atom
Crystal system   tetragonal

a = 11.9883 Å, b = 11.9883 Å, c = 11.9883 Å
α = 164.39°, β = 164.39°, γ = 22.15°
Last column: nearest neighbours and their distance in Å.
Fractional positions:
Sc: 0.0000 0.0000 0.0000  10 Si 2.88-2.92
Sc: 0.3027 0.3027 0.0000  5 Si 2.85-2.90
Sc: 0.6973 0.6973 0.0000  5 Si 2.85-2.90
Si: 0.1223 0.1223 0.0000  4 Si 2.55
Si: 0.4239 0.4239 0.0000  4 Si 2.55, 1 Sc 2.85
Si: 0.5761 0.5761 0.0000  4 Si 2.55, 1 Sc 2.85
Si: 0.8777 0.8777 0.0000  4 Si 2.55

## MnRe4Te (GGA-PBE)

Data for MnRe4Te after structural relaxation.

Calculated values
Fermi-level density of states   5.4 states/eV per cell
Symmetry   No. 216
Total moment   3.937 μB/f.u.
Energy   -9.614 eV/atom
Crystal system   cubic

a = 5.2823 Å, b = 5.2823 Å, c = 5.2823 Å
α = 60.00°, β = 60.00°, γ = 60.00°
Last column: nearest neighbours and their distance in Å.
Fractional positions:
Mn: 0.0000 0.0000 0.0000  12 Re 3.10, 4 Te 3.23
Re: 0.1238 0.6254 0.6254  6 Re 2.63-2.65
Re: 0.6254 0.1238 0.6254  6 Re 2.63-2.65
Re: 0.6254 0.6254 0.1238  6 Re 2.63-2.65
Re: 0.6254 0.6254 0.6254  6 Re 2.63-2.65
Te: 0.2500 0.2500 0.2500  12 Re 3.10, 4 Mn 3.23

The evaluated volume for the records listed, in turn: 24.99 17.82 17.37 Å³/atom.
The evaluated formation energy without anion corrections for the records listed, in turn: -0.95 -0.27 0.74 eV per atom.